A plane-wave DFT calculation with PBE was carried out for a geometry-optimized Cs3TmAg2Br8 structure.

Cell: 7.9223 7.9223 10.5698 Å, 90.00 90.00 120.00°
Sites, in units of the cell vectors:
1 Br 0.6762 0.8381 0.3442
2 Br 0.8381 0.6762 0.6558
3 Br 0.3333 0.6667 0.9584
4 Br 0.3238 0.1619 0.6558
5 Br 0.1619 0.8381 0.3442
6 Br 0.1619 0.3238 0.3442
7 Br 0.6667 0.3333 0.0416
8 Br 0.8381 0.1619 0.6558
9 Tm 0.0000 0.0000 0.5000
10 Ag 0.6667 0.3333 0.8024
11 Ag 0.3333 0.6667 0.1976
12 Cs 0.6667 0.3333 0.3685
13 Cs 0.3333 0.6667 0.6315
14 Cs 0.0000 0.0000 0.0000

Properties
As for the space group: No. 164. The calculation puts the uncorrected formation energy at -1387 meV per atom.

=====

A plane-wave DFT calculation with PBE was carried out for a geometry-optimized CsTmAgBr5 structure.

Cell: 8.0954 8.0954 10.6937 Å, 101.87 101.87 108.55°
Sites, in units of the cell vectors:
1 Ag 0.3114 0.6886 0.7500
2 Ag 0.6886 0.3114 0.2500
3 Br 0.2917 0.9007 0.5854
4 Br 0.0615 0.9385 0.2500
5 Br 0.2348 0.3602 0.5644
6 Br 0.9007 0.2917 0.0854
7 Br 0.7652 0.6398 0.4356
8 Br 0.7083 0.0993 0.4146
9 Br 0.0993 0.7083 0.9146
10 Br 0.3602 0.2348 0.0644
11 Br 0.6398 0.7652 0.9356
12 Br 0.9385 0.0615 0.7500
13 Cs 0.3426 0.6574 0.2500
14 Cs 0.6574 0.3426 0.7500
15 Tm 0.0000 0.0000 0.5000
16 Tm 0.0000 0.0000 0.0000

Properties
As for the space group: No. 15. The calculation puts the uncorrected formation energy at -1479 meV per atom.

=====

A plane-wave DFT calculation with PBE was carried out for a geometry-optimized Cs4TmAg3Br12 structure.

Cell: 9.6685 9.6685 9.6685 Å, 109.47 109.47 109.47°
Sites, in units of the cell vectors:
1 Br 0.2452 0.0000 0.2452
2 Br 0.7548 0.0000 0.7548
3 Br 0.2500 0.7500 0.5000
4 Br 0.7500 0.5000 0.2500
5 Br 0.7548 0.7548 0.0000
6 Br 0.0000 0.7548 0.7548
7 Br 0.7500 0.2500 0.5000
8 Br 0.2452 0.2452 0.0000
9 Br 0.5000 0.2500 0.7500
10 Br 0.0000 0.2452 0.2452
11 Br 0.2500 0.5000 0.7500
12 Br 0.5000 0.7500 0.2500
13 Cs 0.0000 0.0000 0.5000
14 Cs 0.0000 0.5000 0.0000
15 Cs 0.5000 0.5000 0.5000
16 Cs 0.5000 0.0000 0.0000
17 Ag 0.0000 0.5000 0.5000
18 Ag 0.5000 0.5000 0.0000
19 Ag 0.5000 0.0000 0.5000
20 Tm 0.0000 0.0000 0.0000

Properties
As for the space group: No. 229. The calculation puts the uncorrected formation energy at -1222 meV per atom.

=====

A plane-wave DFT calculation with PBE was carried out for a geometry-optimized CsTm2AgBr8 structure.

Cell: 7.3126 7.3126 11.0143 Å, 70.61 70.61 60.00°
Sites, in units of the cell vectors:
1 Tm 0.2600 0.2600 0.2201
2 Tm 0.7400 0.7400 0.7799
3 Cs 0.5000 0.5000 0.5000
4 Br 0.3712 0.7169 0.8348
5 Br 0.8254 0.8254 0.5239
6 Br 0.9230 0.6288 0.1652
7 Br 0.0770 0.3712 0.8348
8 Br 0.2831 0.9230 0.1652
9 Br 0.6288 0.2831 0.1652
10 Br 0.7169 0.0770 0.8348
11 Br 0.1746 0.1746 0.4761
12 Ag 0.0000 0.0000 0.0000

Properties
As for the space group: No. 148. The calculation puts the uncorrected formation energy at -1502 meV per atom.

=====

A plane-wave DFT calculation with PBE was carried out for a geometry-optimized CsUAgBr6 structure.

Cell: 11.2767 8.8714 10.7546 Å, 114.36 121.62 90.00°
Each line ends with the local moment (μB).
Sites, in units of the cell vectors:
1 Br 0.4241 0.6741 0.8481  0.00
2 Br 0.7046 0.9546 0.4093  -0.02
3 Br 0.3474 0.0994 0.2621  -0.04
4 Br 0.6526 0.3374 0.7379  -0.04
5 Br 0.3474 0.6626 0.2621  -0.04
6 Br 0.9147 0.0994 0.2621  -0.04
7 Br 0.6526 0.9006 0.7379  -0.04
8 Br 0.9147 0.6626 0.2621  -0.04
9 Br 0.5759 0.3259 0.1519  0.00
10 Br 0.2954 0.0454 0.5907  -0.02
11 Br 0.0853 0.3374 0.7379  -0.04
12 Br 0.0853 0.9006 0.7379  -0.04
13 Cs 0.1999 0.4499 0.3998  0.00
14 Cs 0.8001 0.5501 0.6002  0.00
15 Ag 0.5000 0.5000 0.0000  0.00
16 Ag 0.5000 0.0000 0.0000  0.00
17 U 0.0000 0.0000 0.5000  2.11
18 U 0.5000 0.0000 0.5000  2.11

Properties
As for the space group: No. 74. The calculation puts the uncorrected formation energy at -1192 meV per atom.

=====

A plane-wave DFT calculation with PBE was carried out for a geometry-optimized CsUAg2Br6 structure.

Cell: 10.7584 9.5283 9.5283 Å, 61.47 68.12 68.12°
Each line ends with the local moment (μB).
Sites, in units of the cell vectors:
1 Br 0.1581 0.0989 0.6529  -0.02
2 Br 0.1595 0.6919 0.5602  -0.01
3 Br 0.9988 0.3269 0.9103  -0.03
4 Br 0.5012 0.0897 0.6731  -0.03
5 Br 0.6595 0.5602 0.6919  -0.01
6 Br 0.8405 0.3081 0.4398  -0.01
7 Br 0.0012 0.6731 0.0897  -0.03
8 Br 0.3405 0.4398 0.3081  -0.01
9 Br 0.8419 0.9011 0.3471  -0.02
10 Br 0.4988 0.9103 0.3269  -0.03
11 Br 0.6581 0.6529 0.0989  -0.02
12 Br 0.3419 0.3471 0.9011  -0.02
13 Ag 0.9297 0.5826 0.6104  -0.02
14 Ag 0.4297 0.6104 0.5826  -0.02
15 Ag 0.0703 0.4174 0.3896  -0.02
16 Ag 0.5703 0.3896 0.4174  -0.02
17 U 0.2500 0.3381 0.6619  2.21
18 U 0.7500 0.6619 0.3381  2.21
19 Cs 0.2500 0.8898 0.1102  0.00
20 Cs 0.7500 0.1102 0.8898  0.00

Properties
As for the space group: No. 15. The calculation puts the uncorrected formation energy at -961 meV per atom.

=====

A plane-wave DFT calculation with PBE was carried out for a geometry-optimized Cs3UAg2Br9 structure.

Cell: 8.1048 8.1048 10.0412 Å, 90.00 90.00 120.00°
Each line ends with the local moment (μB).
Sites, in units of the cell vectors:
1 Br 0.3257 0.1629 0.6598  -0.02
2 Br 0.0000 0.5000 0.0000  0.00
3 Br 0.5000 0.5000 0.0000  0.00
4 Br 0.1629 0.8371 0.3402  -0.02
5 Br 0.6743 0.8371 0.3402  -0.02
6 Br 0.1629 0.3257 0.3402  -0.02
7 Br 0.5000 0.0000 0.0000  0.00
8 Br 0.8371 0.6743 0.6598  -0.02
9 Br 0.8371 0.1629 0.6598  -0.02
10 Cs 0.6667 0.3333 0.2866  0.00
11 Cs 0.3333 0.6667 0.7134  0.00
12 Cs 0.0000 0.0000 0.0000  0.00
13 Ag 0.6667 0.3333 0.8594  -0.01
14 Ag 0.3333 0.6667 0.1406  -0.01
15 U 0.0000 0.0000 0.5000  2.12

Properties
As for the space group: No. 164. The calculation puts the uncorrected formation energy at -1266 meV per atom.

=====

A plane-wave DFT calculation with PBE was carried out for a geometry-optimized CsV2AgBr8 structure.

Cell: 7.0266 7.0266 10.1473 Å, 90.00 90.00 120.00°
Each line ends with the local moment (μB).
Sites, in units of the cell vectors:
1 Br 0.0136 0.3340 0.6740  -0.01
2 Br 0.6660 0.6795 0.6740  -0.01
3 Br 0.3340 0.3205 0.3260  -0.01
4 Br 0.6667 0.3333 0.0240  -0.01
5 Br 0.3205 0.9864 0.6740  -0.01
6 Br 0.3333 0.6667 0.9760  -0.01
7 Br 0.6795 0.0136 0.3260  -0.01
8 Br 0.9864 0.6660 0.3260  -0.01
9 V 0.6667 0.3333 0.2586  1.85
10 V 0.3333 0.6667 0.7414  1.85
11 Cs 0.0000 0.0000 0.0000  0.00
12 Ag 0.0000 0.0000 0.5000  0.00

Properties
As for the space group: No. 147. The calculation puts the uncorrected formation energy at -892 meV per atom.

=====

A plane-wave DFT calculation with PBE was carried out for a geometry-optimized Cs3YAg2Br8 structure.

Cell: 7.9591 7.9591 10.5858 Å, 90.00 90.00 120.00°
Sites, in units of the cell vectors:
1 Br 0.1632 0.8368 0.3421
2 Br 0.8368 0.6737 0.6579
3 Br 0.1632 0.3263 0.3421
4 Br 0.3263 0.1632 0.6579
5 Br 0.3333 0.6667 0.9567
6 Br 0.8368 0.1632 0.6579
7 Br 0.6667 0.3333 0.0433
8 Br 0.6737 0.8368 0.3421
9 Ag 0.6667 0.3333 0.8044
10 Ag 0.3333 0.6667 0.1956
11 Cs 0.3333 0.6667 0.6312
12 Cs 0.0000 0.0000 0.0000
13 Cs 0.6667 0.3333 0.3688
14 Y 0.0000 0.0000 0.5000

Properties
As for the space group: No. 164. The calculation puts the uncorrected formation energy at -1390 meV per atom.

=====

A plane-wave DFT calculation with PBE was carried out for a geometry-optimized CsYAgBr5 structure.

Cell: 8.1396 8.1396 10.8042 Å, 102.04 102.04 108.47°
Sites, in units of the cell vectors:
1 Cs 0.6566 0.3434 0.7500
2 Cs 0.3434 0.6566 0.2500
3 Y 0.0000 0.0000 0.0000
4 Y 0.0000 0.0000 0.5000
5 Br 0.6367 0.7627 0.9352
6 Br 0.3633 0.2373 0.0648
7 Br 0.7627 0.6367 0.4352
8 Br 0.2947 0.9005 0.5878
9 Br 0.9354 0.0646 0.7500
10 Br 0.9005 0.2947 0.0878
11 Br 0.2373 0.3633 0.5648
12 Br 0.0646 0.9354 0.2500
13 Br 0.0995 0.7053 0.9122
14 Br 0.7053 0.0995 0.4122
15 Ag 0.3115 0.6885 0.7500
16 Ag 0.6885 0.3115 0.2500

Properties
As for the space group: No. 15. The calculation puts the uncorrected formation energy at -1487 meV per atom.

=====

A plane-wave DFT calculation with PBE was carried out for a geometry-optimized CsYAgBr6 structure.

Cell: 7.1731 7.1740 8.1040 Å, 87.45 92.55 64.93°
Each line ends with the local moment (μB).
Sites, in units of the cell vectors:
1 Br 0.6028 0.3849 0.7052  0.13
2 Br 0.3853 0.6024 0.2948  0.13
3 Br 0.9931 0.3734 0.3276  0.10
4 Br 0.3727 0.9932 0.6722  0.10
5 Br 0.6299 0.9833 0.2638  0.02
6 Br 0.9833 0.6305 0.7361  0.02
7 Cs 0.0197 0.0196 0.0003  0.00
8 Y 0.6793 0.6794 0.5001  0.00
9 Ag 0.3337 0.3334 0.4999  0.25

Properties
As for the space group: No. 5. The calculation puts the uncorrected formation energy at -1307 meV per atom.

=====

A plane-wave DFT calculation with PBE was carried out for a geometry-optimized Cs3Zn2AgBr8 structure.

Cell: 7.8033 7.8033 10.0998 Å, 90.00 90.00 120.00°
Sites, in units of the cell vectors:
1 Br 0.1655 0.8345 0.3180
2 Br 0.8345 0.6690 0.6820
3 Br 0.6667 0.3333 0.0123
4 Br 0.3333 0.6667 0.9877
5 Br 0.8345 0.1655 0.6820
6 Br 0.3310 0.1655 0.6820
7 Br 0.6690 0.8345 0.3180
8 Br 0.1655 0.3310 0.3180
9 Cs 0.3333 0.6667 0.6340
10 Cs 0.6667 0.3333 0.3660
11 Cs 0.0000 0.0000 0.0000
12 Zn 0.6667 0.3333 0.7780
13 Zn 0.3333 0.6667 0.2220
14 Ag 0.0000 0.0000 0.5000

Properties
As for the space group: No. 164. The calculation puts the uncorrected formation energy at -1223 meV per atom.